Material: K2CdPt2
Method: DFT, PBE
State: optimized geometry

The structure in extended XYZ format:
```
10
Lattice="6.9837 0.0000 0.0000 0.0000 6.9837 0.0000 0.0000 0.0000 5.3138" Properties=species:S:1:pos:R:3 pbc="T T T"
K 1.2016 2.2902 0.0000
K 2.2902 5.7820 0.0000
K 4.6935 1.2016 0.0000
K 5.7820 4.6935 0.0000
Cd 0.0000 0.0000 2.6569
Cd 3.4918 3.4918 2.6569
Pt 0.9105 4.4024 2.6569
Pt 2.5813 0.9105 2.6569
Pt 4.4024 6.0731 2.6569
Pt 6.0731 2.5813 2.6569
```

Size of the total moment   0.00 μB per formula unit
Formation enthalpy at 0 K   -104 meV/atom

***

Material: AcCeTh2Se4
Method: DFT, PBE
State: optimized geometry

The structure in extended XYZ format:
```
8
Lattice="7.3605 0.0000 0.0000 0.0000 4.2700 0.0000 -2.4648 0.0000 7.0004" Properties=species:S:1:pos:R:3 pbc="T T T"
Ac 0.0000 0.0000 0.0000
Ce 3.6802 2.1350 0.0000
Th -1.2324 2.1350 3.5002
Th 2.4478 0.0000 3.5002
Se 0.0417 0.0000 5.2244
Se 1.2751 2.1350 1.8115
Se 3.6205 2.1350 5.1889
Se 4.8540 0.0000 1.7761
```

Raw formation energy   -1.67 eV/atom
Size of the total moment   0.86 μB per formula unit

***

Material: Tb2ErTm5In
Method: DFT, PBE
State: optimized geometry

The structure in extended XYZ format:
```
18
Lattice="2.6240 -10.1295 0.0000 2.6240 10.1295 0.0000 0.0000 0.0000 10.2731" Properties=species:S:1:pos:R:3 pbc="T T T"
Tb 2.6240 7.7719 5.4999
Tb 2.6240 7.7719 9.9098
Tb 2.6240 -7.7719 0.3633
Tb 2.6240 -7.7719 4.7733
Er 2.6240 5.8784 2.5683
Er 2.6240 -5.8784 7.7049
Tm 2.6240 9.9592 2.5683
Tm 2.6240 4.3143 5.6884
Tm 2.6240 4.3143 9.7213
Tm 2.6240 2.4006 2.5683
Tm 2.6240 0.0000 0.0000
Tm 2.6240 0.0000 5.1366
Tm 2.6240 -2.4006 7.7049
Tm 2.6240 -4.3143 0.5519
Tm 2.6240 -4.3143 4.5847
Tm 2.6240 -9.9592 7.7049
In 2.6240 1.9606 7.7049
In 2.6240 -1.9606 2.5683
```

Size of the total moment   0.00 μB per formula unit
Formation enthalpy at 0 K   -2 meV/atom

***

Material: Sc2Sn2Au
Method: DFT, PBE
State: optimized geometry

The structure in extended XYZ format:
```
10
Lattice="7.3700 0.0000 0.0000 0.0000 7.3700 0.0000 0.0000 0.0000 4.3963" Properties=species:S:1:pos:R:3 pbc="T T T"
Sc 1.1963 2.4887 0.0000
Sc 2.4887 6.1737 0.0000
Sc 4.8813 1.1963 0.0000
Sc 6.1737 4.8813 0.0000
Sn 1.0587 4.7438 2.1981
Sn 2.6263 1.0587 2.1981
Sn 4.7438 6.3113 2.1981
Sn 6.3113 2.6263 2.1981
Au 0.0000 0.0000 0.0000
Au 3.6850 3.6850 0.0000
```

Size of the total moment   0.00 μB per formula unit
Formation enthalpy at 0 K   -438 meV/atom

***

Material: Hf2PtC2
Method: DFT, PBE
State: optimized geometry

The structure in extended XYZ format:
```
10
Lattice="6.3787 0.0000 0.0000 0.0000 6.3787 0.0000 0.0000 0.0000 3.1641" Properties=species:S:1:pos:R:3 pbc="T T T"
Hf 1.0108 2.1785 0.0000
Hf 2.1785 5.3678 0.0000
Hf 4.2002 1.0108 0.0000
Hf 5.3678 4.2002 0.0000
Pt 0.0000 0.0000 1.5820
Pt 3.1893 3.1893 1.5820
C 1.0320 4.2213 1.5820
C 2.1573 1.0320 1.5820
C 4.2213 5.3467 1.5820
C 5.3467 2.1573 1.5820
```

Size of the total moment   0.00 μB per formula unit
Formation enthalpy at 0 K   -255 meV/atom

***

Material: PmEr2Ni
Method: DFT, PBE
State: optimized geometry

The structure in extended XYZ format:
```
16
Lattice="3.6397 0.0000 0.0000 0.0000 12.1381 0.0000 0.0000 0.0000 9.4271" Properties=species:S:1:pos:R:3 pbc="T T T"
Pm 0.0000 0.9323 2.3568
Pm 0.0000 11.2058 7.0704
Pm 1.8198 5.1368 7.0704
Pm 1.8198 7.0014 2.3568
Er 0.0000 4.3875 0.6577
Er 0.0000 4.3875 4.0559
Er 0.0000 7.7506 5.3712
Er 0.0000 7.7506 8.7695
Er 1.8198 1.6816 5.3712
Er 1.8198 1.6816 8.7695
Er 1.8198 10.4566 0.6577
Er 1.8198 10.4566 4.0559
Ni 0.0000 2.8640 7.0704
Ni 0.0000 9.2741 2.3568
Ni 1.8198 3.2050 2.3568
Ni 1.8198 8.9331 7.0704
```

Size of the total moment   0.00 μB per formula unit
Formation enthalpy at 0 K   -209 meV/atom